VASP calculation (GGA+U) on K2MoPtO4 after structural relaxation.

abc: 5.678 5.678 5.678
angles: 112.17 112.17 104.19
Fractional coordinates of all 8 atoms:
K  0.000  0.000  0.000
K  0.750  0.250  0.500
Mo  0.250  0.750  0.500
Pt  0.500  0.500  0.000
O  0.268  0.446  0.553
O  0.286  0.732  0.178
O  0.554  0.108  0.822
O  0.892  0.714  0.447

Results
total DFT energy (no corrections)	-5.562	eV/atom
total magnetization	0.00	μB/cell
N(E_F)	0.016	states/eV per atom